TbUFe2 | Alexandria via LeMat-Bulk | GGA-PBE | relaxed; crystal system = trigonal; space-group type = R-3m; Fermi-level density of states = 4.5 states/eV/f.u.; energy of formation = 0.17 eV per atom; volume = 18.6 Å³ per atom
1.0
-1.875 2.356 -1.551
-3.262 -0.608 -0.679
-3.630 3.440 5.913
Fe Tb U
2 1 1
direct
0.263 0.263 0.210
0.737 0.737 0.790
0.500 0.500 0.500
0.000 0.000 0.000